[1]
Material: PuSi2Os4
Method: DFT, GGA-PBE
State: optimized geometry

CIF file:
```
data_PuSi2Os4
_chemical_formula_sum 'Pu2 Si4 Os8'
_symmetry_space_group_name_H-M 'P 1'
_symmetry_Int_Tables_number 1
_symmetry_space_group_name_Hall 'P 1'
_cell_length_a 3.966
_cell_length_b 14.282
_cell_length_c 3.951
_cell_angle_alpha 90.00
_cell_angle_beta 90.00
_cell_angle_gamma 90.00
loop_
_atom_site_label
_atom_site_fract_x
_atom_site_fract_y
_atom_site_fract_z
Pu1 0.000 0.000 0.000
Pu2 0.500 0.500 0.000
Si1 0.000 0.416 0.500
Si2 0.000 0.584 0.500
Si3 0.500 0.084 0.500
Si4 0.500 0.916 0.500
Os1 0.000 0.187 0.500
Os2 0.000 0.310 0.000
Os3 0.000 0.690 0.000
Os4 0.000 0.813 0.500
Os5 0.500 0.190 0.000
Os6 0.500 0.313 0.500
Os7 0.500 0.687 0.500
Os8 0.500 0.810 0.000
```

Computed properties:
As for the mass density: 15.75 g/cm³. The value obtained for the uncorrected formation energy is -0.39 eV/atom. As for the total magnetization: 0.79 μB/atom. The space group is Cmmm.

[2]
Material: PuSi4Os4
Method: DFT, GGA-PBE
State: optimized geometry

CIF file:
```
data_PuSi4Os4
_chemical_formula_sum 'Pu2 Si8 Os8'
_symmetry_space_group_name_H-M 'P 1'
_symmetry_Int_Tables_number 1
_symmetry_space_group_name_Hall 'P 1'
_cell_length_a 5.943
_cell_length_b 5.943
_cell_length_c 8.101
_cell_angle_alpha 90.00
_cell_angle_beta 90.00
_cell_angle_gamma 90.00
loop_
_atom_site_label
_atom_site_fract_x
_atom_site_fract_y
_atom_site_fract_z
Pu1 0.250 0.750 0.250
Pu2 0.750 0.250 0.750
Si1 0.051 0.250 0.069
Si2 0.250 0.051 0.569
Si3 0.250 0.449 0.569
Si4 0.449 0.250 0.069
Si5 0.551 0.750 0.931
Si6 0.750 0.551 0.431
Si7 0.750 0.949 0.431
Si8 0.949 0.750 0.931
Os1 0.005 0.250 0.368
Os2 0.250 0.005 0.868
Os3 0.250 0.495 0.868
Os4 0.495 0.250 0.368
Os5 0.505 0.750 0.632
Os6 0.750 0.505 0.132
Os7 0.750 0.995 0.132
Os8 0.995 0.750 0.632
```

Computed properties:
As for the mass density: 12.97 g/cm³. The value obtained for the uncorrected formation energy is -0.26 eV/atom. As for the total magnetization: 0.57 μB/atom. The space group is P4_2/nmc.

Q: Which of these has the highest mass density?
A: PuSi2Os4